Record 1
A relaxed structure of InCo2Ge2, computed with PBE.

SG	P4/mbm, No. 127
energy of formation	70	kJ/mol of formula units
final energy	-5.0928	eV per atom

abc: 7.4212 7.4212 2.7232
angles: 90.00 90.00 90.00
Closest atoms and distances in Å follow each position.
Fractional coordinates of all 10 atoms:
1 In 0.0000 0.0000 0.0000  2 In 2.72, 4 Ge 2.86
2 In 0.5000 0.5000 0.0000  2 In 2.72, 4 Ge 2.86
3 Co 0.1445 0.3555 0.5000  6 Ge 2.52-2.63, 2 Co 2.72
4 Co 0.3555 0.8555 0.5000  6 Ge 2.52-2.63, 2 Co 2.72
5 Co 0.6445 0.1445 0.5000  6 Ge 2.52-2.63, 2 Co 2.72
6 Co 0.8555 0.6445 0.5000  6 Ge 2.52-2.63, 2 Co 2.72
7 Ge 0.1409 0.6409 0.0000  6 Co 2.52-2.63, 2 Ge 2.72
8 Ge 0.3591 0.1409 0.0000  6 Co 2.52-2.63, 2 Ge 2.72
9 Ge 0.6409 0.8591 0.0000  6 Co 2.52-2.63, 2 Ge 2.72
10 Ge 0.8591 0.3591 0.0000  6 Co 2.52-2.63, 2 Ge 2.72


Record 2
A relaxed structure of NaAc3Tb3Te8, computed with PBE.

formation energy from raw total energies	-1.41	eV/atom
SG	R-3m, No. 166
final energy	-4.9168	eV per atom

abc: 9.1281 9.1281 9.1281
angles: 59.32 59.32 59.32
Closest atoms and distances in Å follow each position.
Fractional coordinates of all 15 atoms:
1 Na 0.0000 0.0000 0.0000  6 Te 3.25
2 Ac 0.0000 0.0000 0.5000  6 Te 3.31-3.32
3 Ac 0.0000 0.5000 0.0000  6 Te 3.31-3.32
4 Ac 0.5000 0.0000 0.0000  6 Te 3.31-3.32
5 Tb 0.0000 0.5000 0.5000  6 Te 3.11
6 Tb 0.5000 0.0000 0.5000  6 Te 3.11
7 Tb 0.5000 0.5000 0.0000  6 Te 3.11
8 Te 0.2527 0.2527 0.7316  2 Tb 3.11, 1 Na 3.25, 2 Ac 3.31
9 Te 0.2527 0.7316 0.2527  2 Tb 3.11, 1 Na 3.25, 2 Ac 3.31
10 Te 0.2581 0.2581 0.2581  3 Tb 3.11, 3 Ac 3.32
11 Te 0.2684 0.7473 0.7473  2 Tb 3.11, 1 Na 3.25, 2 Ac 3.31
12 Te 0.7316 0.2527 0.2527  2 Tb 3.11, 1 Na 3.25, 2 Ac 3.31
13 Te 0.7419 0.7419 0.7419  3 Tb 3.11, 3 Ac 3.32
14 Te 0.7473 0.2684 0.7473  2 Tb 3.11, 1 Na 3.25, 2 Ac 3.31
15 Te 0.7473 0.7473 0.2684  2 Tb 3.11, 1 Na 3.25, 2 Ac 3.31


Record 3
A relaxed structure of BeP2BrCl, computed with PBE.

formation energy from raw total energies	0.51	eV/atom
SG	P4/mmm, No. 123
energy above the lowest structure with this stoichiometry	0.000	eV per atom
final energy	-3.1034	eV per atom

abc: 4.5494 4.5494 4.3577
angles: 90.00 90.00 90.00
Closest atoms and distances in Å follow each position.
Fractional coordinates of all 5 atoms:
1 Be 0.0000 0.0000 0.0000  2 Cl 2.18, 4 P 2.27
2 P 0.0000 0.5000 0.0000  2 Be 2.27
3 P 0.5000 0.0000 0.0000  2 Be 2.27
4 Br 0.5000 0.5000 0.5000  8 P 3.15, 4 Cl 3.22
5 Cl 0.0000 0.0000 0.5000  2 Be 2.18


Record 4
A relaxed structure of SiAgCl3, computed with PBE.

formation energy from raw total energies	0.20	eV/atom
SG	Pm-3m, No. 221
final energy	-2.5583	eV per atom

abc: 5.0382 5.0382 5.0382
angles: 90.00 90.00 90.00
Closest atoms and distances in Å follow each position.
Fractional coordinates of all 5 atoms:
1 Si 0.0000 0.0000 0.0000  12 Cl 3.56
2 Ag 0.5000 0.5000 0.5000  6 Cl 2.52
3 Cl 0.0000 0.5000 0.5000  2 Ag 2.52
4 Cl 0.5000 0.0000 0.5000  2 Ag 2.52
5 Cl 0.5000 0.5000 0.0000  2 Ag 2.52


Record 5
A relaxed structure of AgC3, computed with PBE.

SG	P6_3/mmc, No. 194
energy above the lowest structure with this stoichiometry	1.289	eV per atom
energy of formation	868	kJ/mol of formula units
final energy	-5.3826	eV per atom

abc: 4.7301 4.7301 7.8397
angles: 90.00 90.00 120.00
Closest atoms and distances in Å follow each position.
Fractional coordinates of all 8 atoms:
1 Ag 0.3333 0.6667 0.2500  6 C 2.42
2 Ag 0.6667 0.3333 0.7500  6 C 2.42
3 C 0.1014 0.2027 0.7500  2 C 1.44
4 C 0.1014 0.8986 0.7500  2 C 1.44
5 C 0.2027 0.1014 0.2500  2 C 1.44
6 C 0.7973 0.8986 0.7500  2 C 1.44
7 C 0.8986 0.1014 0.2500  2 C 1.44
8 C 0.8986 0.7973 0.2500  2 C 1.44


Record 6
A relaxed structure of Ta2SiOs, computed with PBE.

formation energy from raw total energies	-0.19	eV/atom
SG	I4/mmm, No. 139
final energy	-10.2790	eV per atom

abc: 4.9282 4.9282 4.9282
angles: 132.85 132.85 68.89
Closest atoms and distances in Å follow each position.
Fractional coordinates of all 4 atoms:
1 Ta 0.2500 0.7500 0.5000  4 Ta 2.79, 4 Os 2.83, 4 Si 2.83
2 Ta 0.7500 0.2500 0.5000  4 Ta 2.79, 4 Os 2.83, 4 Si 2.83
3 Si 0.0000 0.0000 0.0000  4 Os 2.79, 8 Ta 2.83
4 Os 0.5000 0.5000 0.0000  4 Si 2.79, 8 Ta 2.83


Record 7
A relaxed structure of Al2Ga2Cu7Au, computed with PBE.

SG	C2/m, No. 12
energy of formation	-43	kJ/mol of formula units
final energy	-3.8276	eV per atom

abc: 3.9063 3.9063 11.3290
angles: 90.36 90.36 93.54
Closest atoms and distances in Å follow each position.
Fractional coordinates of all 12 atoms:
1 Al 0.9997 0.9997 0.1889  6 Cu 2.50-2.59, 2 Ga 2.67-2.68
2 Al 0.0003 0.0003 0.8111  6 Cu 2.50-2.59, 2 Ga 2.67-2.68
3 Ga 0.4999 0.4999 0.1867  6 Cu 2.50-2.61, 2 Al 2.67-2.68
4 Ga 0.5001 0.5001 0.8133  6 Cu 2.50-2.61, 2 Al 2.67-2.68
5 Cu 0.0000 0.0000 0.5000  8 Cu 2.67-2.69, 4 Au 2.68-2.85
6 Cu 0.0011 0.5005 0.6621  2 Al 2.57-2.59, 2 Ga 2.59-2.61, 6 Cu 2.67-2.85, 2 Au 2.68-2.69
7 Cu 0.2459 0.2459 0.0002  2 Ga 2.50-2.53, 2 Al 2.50-2.52, 2 Cu 2.63-2.72
8 Cu 0.5005 0.0011 0.6621  2 Al 2.57-2.59, 2 Ga 2.59-2.61, 6 Cu 2.67-2.85, 2 Au 2.68-2.69
9 Cu 0.4995 0.9989 0.3379  2 Al 2.57-2.59, 2 Ga 2.59-2.61, 6 Cu 2.67-2.85, 2 Au 2.68-2.69
10 Cu 0.7541 0.7541 0.9998  2 Ga 2.50-2.53, 2 Al 2.50-2.52, 2 Cu 2.63-2.72
11 Cu 0.9989 0.4995 0.3379  2 Al 2.57-2.59, 2 Ga 2.59-2.61, 6 Cu 2.67-2.85, 2 Au 2.68-2.69
12 Au 0.5000 0.5000 0.5000  12 Cu 2.68-2.85


Record 8
A relaxed structure of ScAl11Os, computed with PBE.

SG	C2/m, No. 12
energy of formation	-218	kJ/mol of formula units
final energy	-4.6914	eV per atom

abc: 6.8650 6.8650 6.9814
angles: 97.81 97.81 135.40
Closest atoms and distances in Å follow each position.
Fractional coordinates of all 13 atoms:
1 Sc 0.0000 0.0000 0.0000  18 Al 3.19-3.49, 2 Os 3.53
2 Al 0.0000 0.0000 0.5000  2 Os 2.60, 8 Al 2.66-2.72
3 Al 0.0000 0.5000 0.0000  10 Al 2.60-2.88
4 Al 0.0134 0.3572 0.3567  1 Os 2.70, 8 Al 2.72-2.97
5 Al 0.2902 0.5016 0.7836  1 Os 2.60, 7 Al 2.65-2.91
6 Al 0.3572 0.0134 0.3567  1 Os 2.70, 8 Al 2.72-2.97
7 Al 0.4984 0.7098 0.2164  1 Os 2.60, 7 Al 2.65-2.91
8 Al 0.5000 0.0000 0.0000  10 Al 2.60-2.88
9 Al 0.5016 0.2902 0.7836  1 Os 2.60, 7 Al 2.65-2.91
10 Al 0.6428 0.9866 0.6433  1 Os 2.70, 8 Al 2.72-2.97
11 Al 0.7098 0.4984 0.2164  1 Os 2.60, 7 Al 2.65-2.91
12 Al 0.9866 0.6428 0.6433  1 Os 2.70, 8 Al 2.72-2.97
13 Os 0.5000 0.5000 0.5000  10 Al 2.60-2.70


Record 9
A relaxed structure of Rb2InGeSe4, computed with PBE.

formation energy from raw total energies	-0.72	eV/atom
SG	Fddd, No. 70
final energy	-3.6188	eV per atom

abc: 14.1938 12.5686 8.0452
angles: 83.97 61.72 34.31
Closest atoms and distances in Å follow each position.
Fractional coordinates of all 16 atoms:
1 Rb 0.0571 0.0571 0.6929  8 Se 3.75-3.97
2 Rb 0.3071 0.3071 0.9429  8 Se 3.75-3.97
3 Rb 0.6929 0.6929 0.0571  8 Se 3.75-3.97
4 Rb 0.9429 0.9429 0.3071  8 Se 3.75-3.97
5 In 0.1250 0.1250 0.1250  4 Se 2.62
6 In 0.8750 0.8750 0.8750  4 Se 2.62
7 Ge 0.3750 0.3750 0.3750  4 Se 2.57
8 Ge 0.6250 0.6250 0.6250  4 Se 2.57
9 Se 0.0267 0.3374 0.4234  1 Ge 2.57, 1 In 2.62
10 Se 0.2874 0.5766 0.6626  1 Ge 2.57, 1 In 2.62
11 Se 0.3374 0.0267 0.7126  1 Ge 2.57, 1 In 2.62
12 Se 0.4234 0.7126 0.0267  1 Ge 2.57, 1 In 2.62
13 Se 0.5766 0.2874 0.9733  1 Ge 2.57, 1 In 2.62
14 Se 0.6626 0.9733 0.2874  1 Ge 2.57, 1 In 2.62
15 Se 0.7126 0.4234 0.3374  1 Ge 2.57, 1 In 2.62
16 Se 0.9733 0.6626 0.5766  1 Ge 2.57, 1 In 2.62


Record 10
A relaxed structure of LaCr4Bi2, computed with PBE.

SG	I4/mmm, No. 139
energy of formation	824	kJ/mol of formula units
final energy	-6.0911	eV per atom

abc: 8.5049 8.5049 8.5049
angles: 146.44 146.44 48.19
Closest atoms and distances in Å follow each position.
Fractional coordinates of all 7 atoms:
1 La 0.0000 0.0000 0.0000  4 Cr 2.46
2 Cr 0.0000 0.5000 0.5000  2 La 2.46
3 Cr 0.1993 0.1993 0.0000  1 Bi 2.84, 1 La 3.09
4 Cr 0.5000 0.0000 0.5000  2 La 2.46
5 Cr 0.8007 0.8007 0.0000  1 Bi 2.84, 1 La 3.09
6 Bi 0.3823 0.3823 0.0000  5 Cr 2.84-3.06
7 Bi 0.6177 0.6177 0.0000  5 Cr 2.84-3.06


Record 11
A relaxed structure of Cu2PdPt, computed with PBE.

SG	R3m, No. 160
energy of formation	-43	kJ/mol of formula units
final energy	-4.9685	eV per atom

abc: 8.7830 8.7830 8.7830
angles: 17.92 17.92 17.92
Closest atoms and distances in Å follow each position.
Fractional coordinates of all 4 atoms:
1 Cu 0.0000 0.0000 0.0000  3 Pd 2.66, 3 Pt 2.69, 6 Cu 2.74
2 Cu 0.1680 0.1680 0.1680  3 Pd 2.66, 3 Pt 2.69, 6 Cu 2.74
3 Pd 0.5838 0.5838 0.5838  6 Cu 2.66, 6 Pd 2.74
4 Pt 0.7509 0.7509 0.7509  6 Cu 2.69, 6 Pt 2.74


Record 12
A relaxed structure of Cd2FeHg, computed with PBE.

SG	C2/m, No. 12
energy of formation	133	kJ/mol of formula units
final energy	-2.3053	eV per atom

abc: 5.7202 5.7202 2.9354
angles: 101.63 101.63 118.79
Closest atoms and distances in Å follow each position.
Fractional coordinates of all 4 atoms:
1 Cd 0.0000 0.5000 0.0000  6 Cd 2.91-3.21, 2 Fe 2.94, 2 Hg 2.94
2 Cd 0.5000 0.0000 0.0000  6 Cd 2.91-3.21, 2 Fe 2.94, 2 Hg 2.94
3 Fe 0.0000 0.0000 0.5000  4 Hg 2.91-3.21, 2 Fe 2.94, 4 Cd 2.94
4 Hg 0.5000 0.5000 0.5000  4 Fe 2.91-3.21, 2 Hg 2.94, 4 Cd 2.94


Record 13
A relaxed structure of Ba2SrSn2As4, computed with PBE.

SG	C2/m, No. 12
energy of formation	-639	kJ/mol of formula units
final energy	-4.3058	eV per atom

abc: 8.4481 8.4481 7.4242
angles: 106.16 106.16 34.09
Closest atoms and distances in Å follow each position.
Fractional coordinates of all 9 atoms:
1 Ba 0.1353 0.1353 0.0721  7 As 3.38-3.70, 1 Sn 3.74
2 Ba 0.8647 0.8647 0.9279  7 As 3.38-3.70, 1 Sn 3.74
3 Sr 0.0000 0.0000 0.5000  6 As 3.29-3.36, 4 Sn 3.64
4 Sn 0.3333 0.3333 0.4868  4 As 2.76-2.83
5 Sn 0.6667 0.6667 0.5132  4 As 2.76-2.83
6 As 0.2111 0.2111 0.6937  3 Sn 2.81-2.83
7 As 0.4806 0.4806 0.7911  1 Sn 2.76, 1 As 2.98
8 As 0.5194 0.5194 0.2089  1 Sn 2.76, 1 As 2.98
9 As 0.7889 0.7889 0.3063  3 Sn 2.81-2.83


Record 14
A relaxed structure of Na2CoSbTe, computed with PBE.

formation energy from raw total energies	0.67	eV/atom
SG	P4/mmm, No. 123
final energy	-2.7289	eV per atom

abc: 5.5605 5.5605 6.0779
angles: 90.00 90.00 90.00
Closest atoms and distances in Å follow each position.
Fractional coordinates of all 5 atoms:
1 Na 0.0000 0.5000 0.0000  2 Te 2.78
2 Na 0.5000 0.0000 0.0000  2 Te 2.78
3 Co 0.0000 0.0000 0.5000  4 Sb 3.93, 8 Na 4.12
4 Sb 0.5000 0.5000 0.5000  2 Te 3.04
5 Te 0.5000 0.5000 0.0000  4 Na 2.78, 2 Sb 3.04


Record 15
A relaxed structure of CsRbHF, computed with PBE.

SG	R3m, No. 160
energy above the lowest structure with this stoichiometry	0.000	eV per atom
final energy	-3.1698	eV per atom

abc: 7.4607 7.4607 7.4607
angles: 33.30 33.30 33.30
Closest atoms and distances in Å follow each position.
Fractional coordinates of all 4 atoms:
1 Cs 0.0000 0.0000 0.0000  3 F 3.03, 3 H 3.15
2 Rb 0.5069 0.5069 0.5069  3 F 2.95, 3 H 3.00
3 H 0.7595 0.7595 0.7595  3 Rb 3.00, 3 Cs 3.15
4 F 0.2499 0.2499 0.2499  3 Rb 2.95, 3 Cs 3.03


Record 16
A relaxed structure of CsMg4Tl8, computed with PBE.

SG	I4/mmm, No. 139
energy of formation	-42	kJ/mol of formula units
final energy	-2.0461	eV per atom

abc: 8.3680 8.3680 8.3680
angles: 98.35 98.35 135.19
Closest atoms and distances in Å follow each position.
Fractional coordinates of all 13 atoms:
1 Cs 0.0000 0.0000 0.0000  12 Tl 3.83-4.03, 8 Mg 4.18
2 Mg 0.0000 0.0000 0.5000  8 Tl 3.18-3.35, 2 Mg 3.19
3 Mg 0.0000 0.5000 0.0000  8 Tl 3.18-3.35, 2 Mg 3.19
4 Mg 0.5000 0.0000 0.0000  8 Tl 3.18-3.35, 2 Mg 3.19
5 Mg 0.5000 0.5000 0.5000  8 Tl 3.18-3.35, 2 Mg 3.19
6 Tl 0.0000 0.3499 0.3499  5 Tl 3.28-3.47, 4 Mg 3.35
7 Tl 0.0000 0.6501 0.6501  5 Tl 3.28-3.47, 4 Mg 3.35
8 Tl 0.2750 0.5000 0.7750  4 Mg 3.18, 6 Tl 3.43-3.48
9 Tl 0.3499 0.0000 0.3499  5 Tl 3.28-3.47, 4 Mg 3.35
10 Tl 0.5000 0.2750 0.7750  4 Mg 3.18, 6 Tl 3.43-3.48
11 Tl 0.5000 0.7250 0.2250  4 Mg 3.18, 6 Tl 3.43-3.48
12 Tl 0.6501 0.0000 0.6501  5 Tl 3.28-3.47, 4 Mg 3.35
13 Tl 0.7250 0.5000 0.2250  4 Mg 3.18, 6 Tl 3.43-3.48


Record 17
A relaxed structure of CaPm2ErHg4, computed with PBE.

SG	R-3m, No. 166
energy of formation	-396	kJ/mol of formula units
final energy	-2.6721	eV per atom

abc: 9.2368 9.2368 9.2368
angles: 33.58 33.58 33.58
Closest atoms and distances in Å follow each position.
Fractional coordinates of all 8 atoms:
1 Ca 0.0000 0.0000 0.0000  8 Hg 3.29-3.31
2 Pm 0.2513 0.2513 0.2513  8 Hg 3.24-3.30
3 Pm 0.7487 0.7487 0.7487  8 Hg 3.24-3.30
4 Er 0.5000 0.5000 0.5000  8 Hg 3.21-3.25
5 Hg 0.1269 0.1269 0.1269  4 Pm 3.25-3.30, 3 Er 3.25, 1 Ca 3.31
6 Hg 0.3770 0.3770 0.3770  1 Er 3.21, 4 Pm 3.24-3.28, 3 Ca 3.29
7 Hg 0.6230 0.6230 0.6230  1 Er 3.21, 4 Pm 3.24-3.28, 3 Ca 3.29
8 Hg 0.8731 0.8731 0.8731  4 Pm 3.25-3.30, 3 Er 3.25, 1 Ca 3.31


Record 18
A relaxed structure of SrLaAg2, computed with PBE.

SG	Cm, No. 8
energy of formation	-55	kJ/mol of formula units
final energy	-3.2216	eV per atom

abc: 6.1801 6.1801 5.4849
angles: 105.15 105.15 34.68
Closest atoms and distances in Å follow each position.
Fractional coordinates of all 4 atoms:
1 Sr 0.0000 0.0000 0.0000  7 Ag 3.23-3.45, 2 La 3.60-3.61
2 La 0.2062 0.2062 0.6229  7 Ag 3.28-3.41, 2 Sr 3.60-3.61
3 Ag 0.4552 0.4552 0.4645  2 Ag 3.07, 3 La 3.28-3.39, 4 Sr 3.30-3.38
4 Ag 0.7573 0.7573 0.1652  2 Ag 3.07, 1 Sr 3.23, 4 La 3.30-3.41


Record 19
A relaxed structure of TeIr2Cl, computed with PBE.

formation energy from raw total energies	0.58	eV/atom
SG	R-3m, No. 166
energy above the lowest structure with this stoichiometry	0.483	eV per atom
final energy	-5.0943	eV per atom

abc: 7.9149 7.9149 7.9149
angles: 24.47 24.47 24.47
Closest atoms and distances in Å follow each position.
Fractional coordinates of all 4 atoms:
1 Te 0.0000 0.0000 0.0000  6 Ir 2.61
2 Ir 0.2572 0.2572 0.2572  3 Te 2.61, 3 Cl 2.84
3 Ir 0.7428 0.7428 0.7428  3 Te 2.61, 3 Cl 2.84
4 Cl 0.5000 0.5000 0.5000  6 Ir 2.84


Record 20
A relaxed structure of Dy5HoTe4, computed with PBE.

formation energy from raw total energies	-0.91	eV/atom
SG	C2/m, No. 12
final energy	-4.9212	eV per atom

abc: 9.3408 9.3408 8.5068
angles: 102.06 102.06 25.58
Closest atoms and distances in Å follow each position.
Fractional coordinates of all 10 atoms:
1 Dy 0.0000 0.0000 0.0000  4 Te 2.98
2 Dy 0.3117 0.3117 0.1403  3 Te 3.15-3.21
3 Dy 0.3361 0.3361 0.7146  4 Te 3.06-3.14
4 Dy 0.6639 0.6639 0.2854  4 Te 3.06-3.14
5 Dy 0.6883 0.6883 0.8597  3 Te 3.15-3.21
6 Ho 0.0000 0.0000 0.5000  6 Te 2.97-2.99
7 Te 0.1678 0.1678 0.5654  1 Ho 2.99, 5 Dy 3.06-3.21
8 Te 0.4884 0.4884 0.2454  2 Ho 2.97, 4 Dy 2.98-3.15
9 Te 0.5116 0.5116 0.7546  2 Ho 2.97, 4 Dy 2.98-3.15
10 Te 0.8322 0.8322 0.4346  1 Ho 2.99, 5 Dy 3.06-3.21